Model w:
Nd2Pa3S8 | the Alexandria database | PBE | optimized geometry; size of the total moment = 4.82 μB/cell; D(E_F) = 12.172 states/eV per cell; space-group type = C2/m, No. 12
1.0
6.615 0.000 0.178
0.000 8.005 0.000
-2.473 -4.003 6.688
Nd Pa S
2 3 8
direct
0.336 0.262 0.525 Nd
0.664 0.738 0.475 Nd
0.500 0.000 0.000 Pa
0.000 0.249 0.000 Pa
0.000 0.751 0.000 Pa
0.918 0.610 0.219 S
0.082 0.390 0.781 S
0.922 0.120 0.239 S
0.078 0.880 0.761 S
0.584 0.644 0.752 S
0.584 0.109 0.752 S
0.416 0.891 0.248 S
0.416 0.356 0.248 S

---

Model x:
Nd2Pa3S8 | the Alexandria database | PBE | optimized geometry; size of the total moment = 1.84 μB/cell; D(E_F) = 11.456 states/eV per cell; space-group type = Cmmm, No. 65
1.0
-3.847 -1.871 2.120
-4.342 -0.577 -8.390
4.702 -5.920 3.309
Nd Pa S
2 3 8
direct
0.500 0.269 0.537 Nd
0.500 0.731 0.463 Nd
0.500 0.000 0.000 Pa
0.000 0.266 0.000 Pa
0.000 0.734 0.000 Pa
0.000 0.621 0.241 S
0.000 0.379 0.759 S
0.000 0.113 0.225 S
0.000 0.887 0.775 S
0.500 0.643 0.764 S
0.500 0.121 0.764 S
0.500 0.879 0.236 S
0.500 0.357 0.236 S

---

Bottom line: model x, by a margin of 0.036 eV/atom.